(1)
VASP calculation (GGA-PBE) on a relaxed structure of Tb5ErTl.

Properties
Symmetry: P4/mmm (123)
Density: 8.41 g/cm³
Calculated total energy: -4.103 eV/atom

Cell: 4.7007 4.7007 10.4239 Å, 90.00 90.00 90.00°
Fractional coordinates of all 7 atoms:
Er 0.0000 0.0000 0.5000
Tb 0.0000 0.5000 0.7573
Tb 0.5000 0.5000 0.0000
Tl 0.0000 0.0000 0.0000
Tb 0.0000 0.5000 0.2427
Tb 0.5000 0.0000 0.7573
Tb 0.5000 0.0000 0.2427

(2)
VASP calculation (GGA-PBE) on a relaxed structure of K2LiHgSb2.

Properties
Symmetry: Ibam (72)
Density: 4.59 g/cm³
Uncorrected formation energy: -2.32 eV/f.u.

Cell: 6.7207 6.8757 9.5795 Å, 111.03 110.54 90.00°
Fractional coordinates of all 12 atoms:
Li 0.0000 0.7500 0.0000
Hg 0.5000 0.2500 0.0000
Hg 0.5000 0.7500 0.0000
Li 0.0000 0.2500 0.0000
Sb 0.8586 0.1022 0.2044
K 0.9126 0.6704 0.3408
K 0.5719 0.8296 0.6592
K 0.4281 0.1704 0.3408
Sb 0.6542 0.3978 0.7956
Sb 0.1414 0.8978 0.7956
Sb 0.3458 0.6022 0.2044
K 0.0874 0.3296 0.6592

(3)
VASP calculation (GGA-PBE) on a relaxed structure of CsKAgHg.

Properties
Symmetry: F-43m (216)
Density: 4.66 g/cm³
Excess energy over the best structure of this formula in the dataset: 0.058 eV/atom

Cell: 6.2332 6.2332 6.2332 Å, 60.00 60.00 60.00°
Fractional coordinates of all 4 atoms:
Cs 0.5000 0.5000 0.5000
Ag 0.2500 0.2500 0.2500
Hg 0.7500 0.7500 0.7500
K 0.0000 0.0000 0.0000

(4)
VASP calculation (GGA-PBE) on a relaxed structure of MgCdSnO4.

Properties
Symmetry: Imma (74)
Density: 5.66 g/cm³
Uncorrected formation energy: -12.15 eV/f.u.

Cell: 6.2975 6.4509 6.4509 Å, 60.06 60.78 60.78°
Fractional coordinates of all 14 atoms:
O 0.7763 0.7438 0.2438
O 0.7761 0.7198 0.7279
O 0.2239 0.7721 0.7802
O 0.7638 0.2562 0.7562
Cd 0.5000 0.0000 0.5000
Sn 0.0000 0.5000 0.5000
O 0.7761 0.2279 0.2198
O 0.2239 0.2802 0.2721
Cd 0.0000 0.0000 0.5000
Mg 0.3577 0.3923 0.8923
Sn 0.0000 0.0000 0.0000
Mg 0.6423 0.6077 0.1077
O 0.2237 0.2562 0.7562
O 0.2362 0.7438 0.2438

(5)
VASP calculation (GGA-PBE) on a relaxed structure of MoPb2Cl.

Properties
Symmetry: Cmm2 (35)
Density: 8.88 g/cm³
Uncorrected formation energy: 1.09 eV/f.u.
Excess energy over the best structure of this formula in the dataset: 0.046 eV/atom

Cell: 3.3881 3.3881 10.6206 Å, 90.00 90.00 123.13°
Site moments in Bohr magnetons follow the coordinates.
Fractional coordinates of all 4 atoms:
Pb 0.5000 0.5000 0.2474  0.01
Cl 0.0000 0.0000 0.5595  0.03
Mo 0.5000 0.5000 0.7313  1.15
Pb 0.0000 0.0000 0.9619  -0.01

(6)
VASP calculation (GGA-PBE) on a relaxed structure of LaMg2Co.

Properties
Symmetry: Cmmm (65)
Density: 4.15 g/cm³
Calculated total energy: -3.747 eV/atom

Cell: 4.2331 5.2046 5.2093 Å, 59.32 90.00 90.00°
Fractional coordinates of all 4 atoms:
Co 0.5000 0.2500 0.2500
La 0.5000 0.7500 0.7500
Mg 0.0000 0.0870 0.0864
Mg 0.0000 0.4130 0.4136